A relaxed CuPS2N crystal, computed with PBE.

Properties
- excess energy over the best structure of this formula in the dataset (meV/atom) = 585
- E_tot (eV/cell) = -19.90
- raw formation energy (eV/atom) = 1.2379
- symmetry = No. 123

Structure (extended XYZ):
```
5
Lattice="-0.185 -4.245 -1.920 3.826 0.958 -2.486 2.002 -1.261 2.595" Properties=species:S:1:pos:R:3 pbc="T T T"
P 2.822 -2.274 -0.906
S 1.913 0.479 -1.243
S -0.092 -2.123 -0.960
Cu 0.000 0.000 0.000
N 1.001 -0.630 1.297
```